This record from Alexandria describes a geometry-optimized SrMg2ScPd structure. The functional is PBE.

Computed properties:
* energy relative to the elements: -251 meV per atom
* electronic total energy: -3.53 eV per atom

Lattice parameters (Å, degrees): 5.224 5.224 5.042 90.00 90.00 90.00
Fractional positions:
Sc: 0.000 0.000 0.500
Sr: 0.500 0.500 0.500
Mg: 0.000 0.500 0.000
Mg: 0.500 0.000 0.000
Pd: 0.000 0.000 0.000

---

This record from Alexandria describes a geometry-optimized Mg2ScTaPd structure. The functional is PBE.

Computed properties:
* energy relative to the elements: 1406 meV per atom
* electronic total energy: -3.91 eV per atom

Lattice parameters (Å, degrees): 5.140 4.670 5.140 90.00 90.00 90.00
Fractional positions:
Sc: 0.000 0.000 0.000
Mg: 0.000 0.000 0.500
Mg: 0.500 0.000 0.000
Pd: 0.500 0.500 0.500
Ta: 0.000 0.500 0.000

---

This record from Alexandria describes a geometry-optimized TbMg2ScPd4 structure. The functional is PBE.

Computed properties:
* energy relative to the elements: -809 meV per atom
* electronic total energy: -5.17 eV per atom

Lattice parameters (Å, degrees): 4.665 4.665 8.239 73.56 73.56 60.00
Fractional positions:
Tb: 0.000 0.000 0.000
Mg: 0.753 0.753 0.741
Mg: 0.247 0.247 0.259
Sc: 0.500 0.500 0.500
Pd: 0.382 0.382 0.855
Pd: 0.873 0.873 0.382
Pd: 0.127 0.127 0.618
Pd: 0.618 0.618 0.145

---

Values of total magnetization, in order: 0.0 0.0 0.0, all in μB per formula unit.
Values of Fermi-level density of states, in order: 2.83 4.04 4.45, all in states/eV/cell.